Computed, not measured: an optimized crystal structure of SiAg2Hg2 at the GGA-PBE level of DFT.

CIF file:
```
data_SiAg2Hg2
_chemical_formula_sum 'Si2 Ag4 Hg4'
_symmetry_space_group_name_H-M 'P 4/m b m'
_symmetry_Int_Tables_number 127
_symmetry_space_group_name_Hall '-P 4 2ab'
_cell_length_a 7.8294
_cell_length_b 7.8294
_cell_length_c 3.4587
_cell_angle_alpha 90.00
_cell_angle_beta 90.00
_cell_angle_gamma 90.00
loop_
_atom_site_label
_atom_site_fract_x
_atom_site_fract_y
_atom_site_fract_z
Si1 0.0000 0.0000 0.0000
Ag1 0.1306 0.3694 0.5000
Hg1 0.1683 0.6683 0.0000
```

---

Computed, not measured: an optimized crystal structure of SiAg3Hg at the GGA-PBE level of DFT.

CIF file:
```
data_SiAg3Hg
_chemical_formula_sum 'Si1 Ag3 Hg1'
_symmetry_space_group_name_H-M 'P m -3 m'
_symmetry_Int_Tables_number 221
_symmetry_space_group_name_Hall '-P 4 2 3'
_cell_length_a 5.1759
_cell_length_b 5.1759
_cell_length_c 5.1759
_cell_angle_alpha 90.00
_cell_angle_beta 90.00
_cell_angle_gamma 90.00
loop_
_atom_site_label
_atom_site_fract_x
_atom_site_fract_y
_atom_site_fract_z
Si1 0.0000 0.0000 0.0000
Ag1 0.0000 0.5000 0.5000
Hg1 0.5000 0.5000 0.5000
```

---

Computed, not measured: an optimized crystal structure of SiAg2Hg at the GGA-PBE level of DFT.

CIF file:
```
data_SiAg2Hg
_chemical_formula_sum 'Si2 Ag4 Hg2'
_symmetry_space_group_name_H-M 'C m m 2'
_symmetry_Int_Tables_number 35
_symmetry_space_group_name_Hall 'C 2 -2'
_cell_length_a 4.1064
_cell_length_b 4.1154
_cell_length_c 9.0553
_cell_angle_alpha 90.00
_cell_angle_beta 90.00
_cell_angle_gamma 90.00
loop_
_atom_site_label
_atom_site_fract_x
_atom_site_fract_y
_atom_site_fract_z
Si1 0.0000 0.0000 0.0000
Ag1 0.0000 0.0000 0.4520
Ag2 0.0000 0.5000 0.2158
Hg1 0.0000 0.5000 0.7148
```

---

no.,VASP energy (eV per atom),offset from the most stable computed form (kJ per mole of atoms),formation energy without anion corrections (eV/f.u.)
1,-1.95,5.4,2.0
2,-1.82,64.0,5.2
3,-2.58,8.4,1.1